Record 1
The following is a DFT calculation (PBE) of CsKO3 after structural relaxation.

Output
**Density**: 4.3 g/cm³
**E_form (uncorrected)**: 19 meV per atom
**Symmetry**: Pm-3m (221)

Lattice parameters (Å, degrees): 4.402 4.402 4.402 90.00 90.00 90.00
Atoms (fractional coordinates):
O  0.000  0.500  0.000
O  0.000  0.000  0.500
O  0.500  0.000  0.000
K  0.500  0.500  0.500
Cs  0.000  0.000  0.000

=====

Record 2
The following is a DFT calculation (PBE) of LiTa4NbN8 after structural relaxation.

Output
**Density**: 9.0 g/cm³
**E_form (uncorrected)**: -930 meV per atom
**Symmetry**: R3m (160)

Lattice parameters (Å, degrees): 6.245 6.245 6.242 59.98 59.98 60.00
Atoms (fractional coordinates):
N  0.752  0.752  0.260
N  0.786  0.240  0.734
N  0.752  0.236  0.260
N  0.240  0.786  0.734
N  0.238  0.238  0.287
N  0.240  0.240  0.734
N  0.236  0.752  0.260
N  0.756  0.756  0.731
Ta  0.484  0.005  0.506
Ta  0.005  0.484  0.506
Ta  0.625  0.625  0.125
Ta  0.005  0.005  0.506
Nb  0.006  0.006  0.982
Li  0.375  0.375  0.875

=====

Record 3
The following is a DFT calculation (PBE) of YCuGe after structural relaxation.

Output
**Density**: 6.5 g/cm³
**Symmetry**: I4/mmm (139)
**Formation energy from the elements**: -535 meV per atom

Lattice parameters (Å, degrees): 4.047 4.047 7.603 105.47 105.47 90.00
Atoms (fractional coordinates):
Cu  0.770  0.500  0.915
Cu  0.270  0.000  0.915
Y  0.605  0.834  0.585
Y  0.935  0.165  0.246
Ge  0.385  0.615  0.145
Ge  0.155  0.385  0.685

=====

Asked for D(E_F) across the records above, the calculation gives 0.314, 0.315, 0.780 states/eV/atom in order.